The following is a PBE calculation of crystalline Rb2CoOsI6 at its relaxed geometry, from the Alexandria database.

Values from the calculation:
As for the raw formation energy: -0.28 eV per atom. As for the crystal system: cubic. The magnetization is 3.0 μB per cell.

Unit cell a=7.9312 b=7.9312 c=7.9312 alpha=60.00 beta=60.00 gamma=60.00
Fractional coordinates of all 10 atoms:
Rb (0.2500, 0.2500, 0.2500)
Rb (0.7500, 0.7500, 0.7500)
Co (0.0000, 0.0000, 0.0000)
Os (0.5000, 0.5000, 0.5000)
I (0.2551, 0.2551, 0.7449)
I (0.2551, 0.7449, 0.2551)
I (0.2551, 0.7449, 0.7449)
I (0.7449, 0.2551, 0.2551)
I (0.7449, 0.2551, 0.7449)
I (0.7449, 0.7449, 0.2551)